1.
A plane-wave DFT calculation with GGA-PBE was carried out for an optimized crystal structure of CsSbH2.

a = 3.9111 Å, b = 3.9111 Å, c = 6.1385 Å
α = 90.00°, β = 90.00°, γ = 90.00°
Space group P4/mmm (No. 123)
Unique sites:
Cs (0.0000, 0.0000, 0.0000) x1
Sb (0.5000, 0.5000, 0.5000) x1
H (0.5000, 0.5000, 0.0659) x2

Properties
**Energy above the lowest structure with this stoichiometry**: 137.9 meV per atom


2.
A plane-wave DFT calculation with GGA-PBE was carried out for an optimized crystal structure of AlSe3S8.

a = 6.2071 Å, b = 7.7086 Å, c = 8.0707 Å
α = 99.03°, β = 103.74°, γ = 91.77°
Space group P1 (No. 1)
Unique sites:
Al (0.0000, 0.0000, 0.0000) x1
Se (0.4382, 0.3800, 0.6262) x1
Se (0.5734, 0.9598, 0.1541) x1
Se (0.9348, 0.6141, 0.4459) x1
S (0.1148, 0.6877, 0.2576) x1
S (0.1546, 0.9660, 0.7717) x1
S (0.2373, 0.1512, 0.4472) x1
S (0.3015, 0.1606, 0.2049) x1
S (0.7178, 0.1875, 0.9747) x1
S (0.7519, 0.2677, 0.7352) x1
S (0.8630, 0.8702, 0.5849) x1
S (0.8684, 0.7352, 0.0458) x1

Properties
**E_form (uncorrected)**: -0.43 eV per formula unit


3.
A plane-wave DFT calculation with GGA-PBE was carried out for an optimized crystal structure of LaCoRh2.

a = 2.9687 Å, b = 2.9687 Å, c = 26.9793 Å
α = 90.00°, β = 90.00°, γ = 120.00°
Space group R-3m (No. 166, hexagonal axes)
Unique sites:
La (0.0000, 0.0000, 0.0000) x3
Co (0.0000, 0.0000, 0.5000) x3
Rh (0.0000, 0.0000, 0.2377) x6

Properties
**DFT formation energy**: 7.68 kcal/mol of atoms
**Energy above the lowest structure with this stoichiometry**: 587.9 meV per atom


4.
A plane-wave DFT calculation with GGA-PBE was carried out for an optimized crystal structure of GePtO2.

a = 4.5708 Å, b = 4.9424 Å, c = 5.5642 Å
α = 93.52°, β = 111.92°, γ = 101.75°
Space group P1 (No. 1)
Unique sites:
Ge (0.0000, 0.0000, 0.0000) x1
Ge (0.1955, 0.8181, 0.5132) x1
Pt (0.7018, 0.3515, 0.9714) x1
Pt (0.7049, 0.4815, 0.4338) x1
O (0.0968, 0.6648, 0.1052) x1
O (0.2558, 0.0724, 0.8163) x1
O (0.2874, 0.1334, 0.3554) x1
O (0.5961, 0.7356, 0.6933) x1

Properties
**E_form (uncorrected)**: -3.23 eV per formula unit


5.
A plane-wave DFT calculation with GGA-PBE was carried out for an optimized crystal structure of Ca2NbSnIr.

a = 5.7180 Å, b = 5.7180 Å, c = 4.8635 Å
α = 90.00°, β = 90.00°, γ = 90.00°
Space group P4/mmm (No. 123)
Unique sites:
Ca (0.0000, 0.5000, 0.0000) x2
Nb (0.0000, 0.0000, 0.5000) x1
Sn (0.5000, 0.5000, 0.0000) x1
Ir (0.5000, 0.5000, 0.5000) x1

Properties
**DFT formation energy**: 22.88 kcal/mol of atoms
**Energy above the lowest structure with this stoichiometry**: 858.5 meV per atom


6.
A plane-wave DFT calculation with GGA-PBE was carried out for an optimized crystal structure of SmGe4Pd6.

a = 7.3482 Å, b = 7.3482 Å, c = 3.9677 Å
α = 90.00°, β = 90.00°, γ = 120.00°
Space group P-6m2 (No. 187)
Unique sites:
Sm (0.0000, 0.0000, 0.0000) x1
Ge (0.3333, 0.6667, 0.0000) x1
Ge (0.3831, 0.1915, 0.5000) x3
Pd (0.1996, 0.3993, 0.5000) x3
Pd (0.5355, 0.0710, 0.0000) x3

Properties
**DFT formation energy**: -15.59 kcal/mol of atoms


7.
A plane-wave DFT calculation with GGA-PBE was carried out for an optimized crystal structure of CeHPdRh2.

a = 4.1762 Å, b = 4.1762 Å, c = 4.0522 Å
α = 90.00°, β = 90.00°, γ = 90.00°
Space group P4/mmm (No. 123)
Unique sites:
Ce (0.0000, 0.0000, 0.0000) x1
H (0.5000, 0.5000, 0.5000) x1
Pd (0.5000, 0.5000, 0.0000) x1
Rh (0.0000, 0.5000, 0.5000) x2

Properties
**E_tot**: -6.4332 eV/atom


8.
A plane-wave DFT calculation with GGA-PBE was carried out for an optimized crystal structure of ScSb2P.

a = 3.7361 Å, b = 4.7706 Å, c = 5.0382 Å
α = 90.00°, β = 90.00°, γ = 90.00°
Space group Pmmm (No. 47)
Unique sites:
Sc (0.0000, 0.0000, 0.0000) x1
Sb (0.0000, 0.5000, 0.5000) x1
Sb (0.5000, 0.5000, 0.0000) x1
P (0.5000, 0.0000, 0.5000) x1

Properties
**E_form (uncorrected)**: -0.58 eV per formula unit


9.
A plane-wave DFT calculation with GGA-PBE was carried out for an optimized crystal structure of ZnGa4Cu7.

a = 9.2758 Å, b = 4.5104 Å, c = 9.3991 Å
α = 90.00°, β = 118.37°, γ = 90.00°
Space group C2/m (No. 12)
Unique sites:
Zn (0.0000, 0.0000, 0.0000) x2
Ga (0.0954, 0.5000, 0.7755) x4
Ga (0.2325, 0.5000, 0.3119) x4
Cu (0.0000, 0.5000, 0.0000) x2
Cu (0.0375, 0.0000, 0.3766) x4
Cu (0.1483, 0.5000, 0.5263) x4
Cu (0.2103, 0.0000, 0.9201) x4

Properties
**DFT formation energy**: 0.87 kcal/mol of atoms


10.
A plane-wave DFT calculation with GGA-PBE was carried out for an optimized crystal structure of Mg2Cd2AgAu5.

a = 10.1026 Å, b = 10.1026 Å, c = 3.8839 Å
α = 90.00°, β = 90.00°, γ = 90.00°
Space group P4/mbm (No. 127)
Unique sites:
Mg (0.1418, 0.3582, 0.0000) x4
Cd (0.1529, 0.6529, 0.0000) x4
Ag (0.0000, 0.0000, 0.0000) x2
Au (0.0000, 0.5000, 0.5000) x2
Au (0.1321, 0.1600, 0.5000) x8

Properties
**DFT formation energy**: -4.76 kcal/mol of atoms


11.
A plane-wave DFT calculation with GGA-PBE was carried out for an optimized crystal structure of CuNi2Rh.

a = 2.6136 Å, b = 2.6136 Å, c = 24.8444 Å
α = 90.00°, β = 90.00°, γ = 120.00°
Space group R-3m (No. 166, hexagonal axes)
Unique sites:
Cu (0.0000, 0.0000, 0.0000) x3
Ni (0.0000, 0.0000, 0.2519) x6
Rh (0.0000, 0.0000, 0.5000) x3

Properties
**DFT formation energy**: 1.76 kcal/mol of atoms


12.
A plane-wave DFT calculation with GGA-PBE was carried out for an optimized crystal structure of Th2WSe2I4.

a = 3.7311 Å, b = 3.7311 Å, c = 24.8926 Å
α = 90.00°, β = 90.00°, γ = 120.00°
Space group P3m1 (No. 156)
Unique sites:
Th (0.0000, 0.0000, 0.0000) x1
Th (0.3333, 0.6667, 0.3540) x1
W (0.3333, 0.6667, 0.6895) x1
Se (0.0000, 0.0000, 0.6272) x1
Se (0.0000, 0.0000, 0.7518) x1
I (0.0000, 0.0000, 0.2584) x1
I (0.0000, 0.0000, 0.4494) x1
I (0.3333, 0.6667, 0.0956) x1
I (0.3333, 0.6667, 0.9047) x1

Properties
**E_form (uncorrected)**: -6.40 eV per formula unit